(1)
First-principles (PBE-GGA) data for a relaxed structure of Rb2TlHgAu, as listed in Alexandria via LeMat-Bulk.

a b c (Å): 6.541 6.541 5.425
angles (deg): 90.00 90.00 90.00
Element x y z (fractional)
Hg  0.000  0.000  0.500
Au  0.000  0.000  0.000
Tl  0.500  0.500  0.500
Rb  0.500  0.000  0.000
Rb  0.000  0.500  0.000

Results
Energy above the most stable polymorph in this dataset ... 12.5 kJ/mol of atoms
Density of states at the Fermi level ... 0.81 states/eV/atom
Space group ... P4/mmm (123)
ΔE_f ... -26.9 meV/atom

---

(2)
First-principles (PBE-GGA) data for a relaxed structure of BiPbNCl2, as listed in Alexandria via LeMat-Bulk.

a b c (Å): 4.769 4.769 4.931
angles (deg): 90.00 90.00 90.00
Site moments in Bohr magnetons follow the coordinates.
Element x y z (fractional)
Pb  0.500  0.500  0.500  0.00
N  0.000  0.000  0.000  0.37
Bi  0.000  0.000  0.500  0.01
Cl  0.500  0.000  0.000  0.06
Cl  0.000  0.500  0.000  0.06

Results
Uncorrected energy ... -17.0 eV per cell
Density of states at the Fermi level ... 0.78 states/eV/atom
Space group ... P4/mmm (123)

---

> What is the formula in the second record?

BiPbNCl2

---

> What is the formula in the second record?

BiPbNCl2

---

> Which formula does entry 2 have?

BiPbNCl2